(1)
Hf3Sb3As | PBE-GGA | optimized geometry

extended XYZ file:
```
14
Lattice="-2.8479 -2.3416 -5.7297 4.5212 -4.6584 2.0691 -5.4467 -3.5763 4.0842" Properties=species:S:1:pos:R:3 pbc="T T T"
Hf -1.4719 -7.4881 1.5189
Hf -2.3015 -3.0881 -1.0953
As -3.9099 -8.5046 1.1680
Hf -4.3108 -3.1223 3.1457
Hf -3.7161 -6.7826 -0.8562
As 0.1365 -2.0717 -0.7444
Sb -4.4140 -4.4936 -2.4629
Hf 0.5374 -7.4539 -2.7221
Sb 2.7113 -4.0894 0.1537
Sb 0.6406 -6.0827 2.8865
Hf -0.0573 -3.7937 1.2797
Sb -2.9220 -4.9142 1.3012
Sb -1.0380 -2.9106 -3.8143
Sb -0.8514 -5.6621 -0.8776
```

Output
V = 340.8 Å³ per cell
crystal system = monoclinic
ΔE_f (raw) = -0.322 eV per atom


(2)
HfSbAs3 | PBE-GGA | optimized geometry

extended XYZ file:
```
5
Lattice="-0.6053 -5.0534 0.7539 0.6759 -0.8317 -5.0323 5.0645 -0.4930 0.7617" Properties=species:S:1:pos:R:3 pbc="T T T"
As 0.3379 -0.4158 -2.5161
Sb 2.5675 -3.1890 -1.7584
As -0.3026 -2.5267 0.3769
Hf 0.0000 0.0000 0.0000
As 2.5322 -0.2465 0.3808
```

Output
V = 136.2 Å³ per cell
crystal system = cubic
ΔE_f (raw) = 0.305 eV per atom


(3)
Hf6Sb2As | PBE-GGA | optimized geometry

extended XYZ file:
```
18
Lattice="-0.3573 1.5388 -5.4933 5.9312 -4.5126 -1.6498 -5.6437 -6.9766 -1.2070" Properties=species:S:1:pos:R:3 pbc="T T T"
Hf 2.2040 -6.1793 -3.9906
Sb 0.7942 -8.3086 -5.4947
Hf 1.5090 -1.6474 -1.2269
Hf 1.0036 -3.3349 -4.4373
Hf -1.5787 -8.3031 -7.1232
Hf 4.4704 -3.5409 -3.4736
Hf -2.2737 -3.7712 -4.3595
Sb -2.3231 -5.5334 -6.6343
Hf -4.4403 -5.4618 -1.5151
Hf -0.6182 -4.3917 -1.7826
Hf 0.5485 -5.5588 -6.5675
Sb 2.2534 -4.4170 -1.7158
Hf -4.5401 -6.4096 -4.8765
As 2.7870 -1.4869 -3.5716
As -2.8219 -3.4883 -0.6035
Sb -0.8639 -1.6419 -2.8554
Hf 4.3705 -4.4886 -6.8350
Hf -1.0733 -6.6156 -3.9129
```

Output
V = 394.7 Å³ per cell
crystal system = monoclinic
ΔE_f (raw) = -0.435 eV per atom


(4)
Hf4SbAs | PBE-GGA | optimized geometry

extended XYZ file:
```
12
Lattice="6.1097 0.0000 0.0000 0.0000 5.8643 -1.7120 0.0000 -3.8057 8.7348" Properties=species:S:1:pos:R:3 pbc="T T T"
Hf 5.0177 -2.3944 6.6016
Hf 4.1465 -0.5883 1.8948
Hf 1.9629 1.5210 1.2772
Sb 3.0549 -1.9028 4.3674
Hf 1.0917 -0.2852 5.9839
Hf 1.0920 4.4531 0.4212
As 3.0549 2.9322 -0.8560
Hf 1.9632 2.6470 5.1279
Hf 4.1469 0.5377 5.7456
Hf 5.0181 2.3439 1.0388
Sb 0.0000 1.0293 3.5114
As 0.0000 0.0000 0.0000
```

Output
V = 273.2 Å³ per cell
crystal system = monoclinic
ΔE_f (raw) = -0.198 eV per atom


(5)
Hf6SbAs | PBE-GGA | optimized geometry

extended XYZ file:
```
8
Lattice="7.1824 1.0150 -1.4285 4.7456 5.4914 -1.5079 2.4249 1.4610 4.2388" Properties=species:S:1:pos:R:3 pbc="T T T"
As 0.0000 0.0000 0.0000
Hf 9.4996 5.3040 1.9320
Hf 4.8043 2.7243 2.4423
Sb 7.1764 3.9838 0.6512
Hf 4.8532 2.6635 -0.6295
Hf 2.3232 1.3202 1.2807
Hf 12.0297 6.6473 0.0217
Hf 9.5486 5.2432 -1.1399
```

Output
V = 168.0 Å³ per cell
crystal system = orthorhombic
ΔE_f (raw) = -0.342 eV per atom


(6)
Hf7Sb2As2 | PBE-GGA | optimized geometry

extended XYZ file:
```
11
Lattice="3.6702 0.0000 0.0000 1.8351 8.5515 0.1332 1.8351 4.1719 7.4660" Properties=species:S:1:pos:R:3 pbc="T T T"
Hf 3.6702 8.4037 3.9969
Hf 3.6702 4.2278 7.3724
Sb 1.8351 7.4268 2.0163
As 1.8351 3.4812 1.1428
Hf 5.5052 7.4019 6.5577
Hf 3.6702 10.0298 7.0489
Hf 3.6702 5.2198 2.0953
As 5.5052 10.0666 5.0760
Sb 3.6702 5.6894 4.9253
Hf 1.8351 3.4402 4.1915
Hf 3.6702 1.7617 2.1107
```

Output
V = 232.3 Å³ per cell
crystal system = orthorhombic
ΔE_f (raw) = -0.612 eV per atom